# 1
DFT (PBE) results for crystalline CoSe3 at its relaxed geometry.

Summary:
Energy above the lowest structure with this stoichiometry ... 0 meV per atom
Space-group type ... Cmmm
Raw formation energy ... -0.04 eV per atom
Density of states at the Fermi level ... 3.2 states/eV/cell

Lattice parameters (Å, degrees): 3.491 4.910 4.911 60.24 90.00 90.00
Atoms (fractional coordinates):
Co: 0.000 0.000 0.000
Se: 0.500 0.811 0.811
Se: 0.000 0.500 0.500
Se: 0.500 0.189 0.189

# 2
DFT (PBE) results for crystalline Co3Se at its relaxed geometry.

Summary:
Energy above the lowest structure with this stoichiometry ... 55 meV per atom
Space-group type ... Fm-3m
Raw formation energy ... 0.30 eV per atom
Density of states at the Fermi level ... 5.6 states/eV/cell

Lattice parameters (Å, degrees): 4.116 4.116 4.116 60.00 60.00 60.00
Atoms (fractional coordinates):
Co: 0.000 0.000 0.000
Co: 0.250 0.250 0.250
Co: 0.500 0.500 0.500
Se: 0.750 0.750 0.750

# 3
DFT (PBE) results for crystalline Co3Se at its relaxed geometry.

Summary:
Energy above the lowest structure with this stoichiometry ... 138 meV per atom
Space-group type ... P-6m2
Raw formation energy ... 0.38 eV per atom
Density of states at the Fermi level ... 5.0 states/eV/cell

Lattice parameters (Å, degrees): 2.833 2.833 7.410 90.00 90.00 120.00
Atoms (fractional coordinates):
Co: 0.000 0.000 0.002
Co: 0.000 0.000 0.498
Co: 0.667 0.333 0.250
Se: 0.667 0.333 0.750

# 4
DFT (PBE) results for crystalline Co5Se at its relaxed geometry.

Summary:
Energy above the lowest structure with this stoichiometry ... 30 meV per atom
Space-group type ... Cm
Raw formation energy ... 0.18 eV per atom
Density of states at the Fermi level ... 5.9 states/eV/cell

Lattice parameters (Å, degrees): 4.825 4.825 5.960 74.46 74.46 32.39
Atoms (fractional coordinates):
Co: 0.015 0.015 0.009
Co: 0.328 0.328 0.334
Co: 0.656 0.656 0.655
Co: 0.602 0.602 0.293
Co: 0.941 0.941 0.605
Se: 0.290 0.290 0.938

# 5
DFT (PBE) results for crystalline CoSe3 at its relaxed geometry.

Summary:
Energy above the lowest structure with this stoichiometry ... 513 meV per atom
Space-group type ... Pm-3m
Raw formation energy ... 0.48 eV per atom
Density of states at the Fermi level ... 7.7 states/eV/cell

Lattice parameters (Å, degrees): 4.732 4.732 4.732 90.00 90.00 90.00
Atoms (fractional coordinates):
Co: 0.000 0.000 0.000
Se: 0.500 0.000 0.000
Se: 0.000 0.500 0.000
Se: 0.000 0.000 0.500

# 6
DFT (PBE) results for crystalline CoSe at its relaxed geometry.

Summary:
Space-group type ... P4/nmm
Raw formation energy ... -0.27 eV per atom
Density of states at the Fermi level ... 4.6 states/eV/cell

Lattice parameters (Å, degrees): 3.694 3.694 5.739 90.00 90.00 90.00
Atoms (fractional coordinates):
Co: 0.250 0.750 0.000
Co: 0.750 0.250 0.000
Se: 0.250 0.250 0.243
Se: 0.750 0.750 0.757

# 7
DFT (PBE) results for crystalline Co3Se at its relaxed geometry.

Summary:
Energy above the lowest structure with this stoichiometry ... 10 meV per atom
Space-group type ... Immm
Raw formation energy ... 0.25 eV per atom
Density of states at the Fermi level ... 4.6 states/eV/cell

Lattice parameters (Å, degrees): 4.813 4.813 4.813 144.39 130.31 62.62
Atoms (fractional coordinates):
Co: 0.021 0.021 0.000
Co: 0.750 0.250 0.500
Co: 0.479 0.479 0.000
Se: 0.250 0.750 0.500

# 8
DFT (PBE) results for crystalline Co5Se8 at its relaxed geometry.

Summary:
Space-group type ... F-43m
Raw formation energy ... -0.29 eV per atom
Density of states at the Fermi level ... 8.9 states/eV/cell

Lattice parameters (Å, degrees): 6.969 6.969 6.969 60.00 60.00 60.00
Atoms (fractional coordinates):
Co: 0.886 0.371 0.371
Co: 0.371 0.886 0.371
Co: 0.371 0.371 0.886
Co: 0.371 0.371 0.371
Co: 0.750 0.750 0.750
Se: 0.596 0.135 0.135
Se: 0.135 0.596 0.135
Se: 0.135 0.135 0.596
Se: 0.135 0.135 0.135
Se: 0.148 0.617 0.617
Se: 0.617 0.148 0.617
Se: 0.617 0.617 0.148
Se: 0.617 0.617 0.617

# 9
DFT (PBE) results for crystalline CoSe at its relaxed geometry.

Summary:
Space-group type ... P2_1/m
Raw formation energy ... -0.27 eV per atom
Density of states at the Fermi level ... 4.6 states/eV/cell

Lattice parameters (Å, degrees): 3.683 3.662 5.968 90.00 99.79 90.00
Atoms (fractional coordinates):
Co: 0.248 0.750 0.998
Co: 0.752 0.250 0.002
Se: 0.682 0.750 0.760
Se: 0.318 0.250 0.240

# 10
DFT (PBE) results for crystalline CoSe3 at its relaxed geometry.

Summary:
Energy above the lowest structure with this stoichiometry ... 257 meV per atom
Space-group type ... Im-3m
Raw formation energy ... 0.22 eV per atom
Density of states at the Fermi level ... 3.0 states/eV/cell

Lattice parameters (Å, degrees): 4.625 4.625 4.625 109.49 109.49 109.49
Atoms (fractional coordinates):
Co: 0.000 0.000 0.000
Se: 0.500 0.000 0.500
Se: 0.500 0.500 0.000
Se: 0.000 0.500 0.500

# 11
DFT (PBE) results for crystalline CoSe3 at its relaxed geometry.

Summary:
Energy above the lowest structure with this stoichiometry ... 128 meV per atom
Space-group type ... Immm
Raw formation energy ... 0.09 eV per atom
Density of states at the Fermi level ... 2.4 states/eV/cell

Lattice parameters (Å, degrees): 6.393 6.393 6.393 149.17 140.50 50.93
Atoms (fractional coordinates):
Co: 0.500 0.000 0.500
Se: 0.355 0.355 0.000
Se: 0.645 0.645 0.000
Se: 0.000 0.500 0.500

# 12
DFT (PBE) results for crystalline CoSe at its relaxed geometry.

Summary:
Space-group type ... P6_3/mmc
Raw formation energy ... 0.18 eV per atom
Density of states at the Fermi level ... 5.8 states/eV/cell

Lattice parameters (Å, degrees): 3.181 3.181 6.809 90.00 90.00 120.00
Atoms (fractional coordinates):
Co: 0.333 0.667 0.250
Co: 0.667 0.333 0.750
Se: 0.000 0.000 0.000
Se: 0.000 0.000 0.500

# 13
DFT (PBE) results for crystalline CoSe at its relaxed geometry.

Summary:
Space-group type ... P2_12_12_1
Raw formation energy ... -0.17 eV per atom
Density of states at the Fermi level ... 14.6 states/eV/cell

Lattice parameters (Å, degrees): 5.445 7.143 6.655 90.00 90.00 90.00
Atoms (fractional coordinates):
Co: 0.344 0.142 0.094
Co: 0.844 0.358 0.906
Co: 0.656 0.642 0.406
Co: 0.156 0.858 0.594
Co: 0.519 0.644 0.796
Co: 0.019 0.856 0.204
Co: 0.481 0.144 0.704
Co: 0.981 0.356 0.296
Se: 0.762 0.121 0.128
Se: 0.262 0.379 0.872
Se: 0.238 0.621 0.372
Se: 0.738 0.879 0.628
Se: 0.264 0.874 0.921
Se: 0.764 0.626 0.079
Se: 0.736 0.374 0.579
Se: 0.236 0.126 0.421